No. 1
A plane-wave DFT calculation with PBE was carried out for K2SiIr after structural relaxation.

Results
Electronic total energy   -0.14198 Ha/atom
Uncorrected formation energy   0.256 eV per atom
Symmetry   P2/m

Structure (CIF):
```
data_K2SiIr
_space_group_name_H-M_alt 'P 1'
_space_group_IT_number 1
_cell_length_a 4.5276
_cell_length_b 4.9971
_cell_length_c 8.0991
_cell_angle_alpha 90.00
_cell_angle_beta 101.91
_cell_angle_gamma 90.00
loop_
_space_group_symop_operation_xyz
'x,y,z'
loop_
_atom_site_label
_atom_site_type_symbol
_atom_site_fract_x
_atom_site_fract_y
_atom_site_fract_z
_atom_site_occupancy
K1 K 0.1557 0.0000 0.2363 1
K2 K 0.8443 0.0000 0.7637 1
Si1 Si 0.5000 0.5000 0.0000 1
Ir1 Ir 0.0000 0.5000 0.0000 1
```

=====

No. 2
A plane-wave DFT calculation with PBE was carried out for KSi2Ir2 after structural relaxation.

Results
Electronic total energy   -0.22732 Ha/atom
Uncorrected formation energy   -0.253 eV per atom
Symmetry   I4/mmm
Energy relative to the lowest polymorph listed for this composition   0.228 eV per atom

Structure (CIF):
```
data_KSi2Ir2
_space_group_name_H-M_alt 'P 1'
_space_group_IT_number 1
_cell_length_a 6.3013
_cell_length_b 6.3013
_cell_length_c 6.3013
_cell_angle_alpha 142.24
_cell_angle_beta 142.24
_cell_angle_gamma 54.47
loop_
_space_group_symop_operation_xyz
'x,y,z'
loop_
_atom_site_label
_atom_site_type_symbol
_atom_site_fract_x
_atom_site_fract_y
_atom_site_fract_z
_atom_site_occupancy
K1 K 0.0000 0.0000 0.0000 1
Si1 Si 0.2500 0.7500 0.5000 1
Si2 Si 0.7500 0.2500 0.5000 1
Ir1 Ir 0.3636 0.3636 0.0000 1
Ir2 Ir 0.6364 0.6364 0.0000 1
```

=====

No. 3
A plane-wave DFT calculation with PBE was carried out for KSiIr after structural relaxation.

Results
Electronic total energy   -0.20451 Ha/atom
Uncorrected formation energy   -0.438 eV per atom
Symmetry   P4/nmm
Energy relative to the lowest polymorph listed for this composition   0.000 eV per atom

Structure (CIF):
```
data_KSiIr
_space_group_name_H-M_alt 'P 1'
_space_group_IT_number 1
_cell_length_a 4.1410
_cell_length_b 4.1410
_cell_length_c 9.0132
_cell_angle_alpha 90.00
_cell_angle_beta 90.00
_cell_angle_gamma 90.00
loop_
_space_group_symop_operation_xyz
'x,y,z'
loop_
_atom_site_label
_atom_site_type_symbol
_atom_site_fract_x
_atom_site_fract_y
_atom_site_fract_z
_atom_site_occupancy
K1 K 0.2500 0.2500 0.1814 1
K2 K 0.7500 0.7500 0.8186 1
Si1 Si 0.2500 0.2500 0.6342 1
Si2 Si 0.7500 0.7500 0.3658 1
Ir1 Ir 0.2500 0.7500 0.5000 1
Ir2 Ir 0.7500 0.2500 0.5000 1
```

=====

No. 4
A plane-wave DFT calculation with PBE was carried out for KSi2Ir after structural relaxation.

Results
Electronic total energy   -0.19793 Ha/atom
Uncorrected formation energy   -0.185 eV per atom
Symmetry   C2/m
Energy relative to the lowest polymorph listed for this composition   0.098 eV per atom

Structure (CIF):
```
data_KSi2Ir
_space_group_name_H-M_alt 'P 1'
_space_group_IT_number 1
_cell_length_a 4.2318
_cell_length_b 4.2318
_cell_length_c 7.0982
_cell_angle_alpha 96.52
_cell_angle_beta 96.52
_cell_angle_gamma 40.97
loop_
_space_group_symop_operation_xyz
'x,y,z'
loop_
_atom_site_label
_atom_site_type_symbol
_atom_site_fract_x
_atom_site_fract_y
_atom_site_fract_z
_atom_site_occupancy
K1 K 0.0000 0.0000 0.0000 1
Si1 Si 0.2312 0.2312 0.6486 1
Si2 Si 0.7688 0.7688 0.3514 1
Ir1 Ir 0.5000 0.5000 0.5000 1
```

=====

No. 5
A plane-wave DFT calculation with PBE was carried out for K2SiIr after structural relaxation.

Results
Electronic total energy   -0.14585 Ha/atom
Uncorrected formation energy   0.151 eV per atom
Symmetry   I-42d

Structure (CIF):
```
data_K2SiIr
_space_group_name_H-M_alt 'P 1'
_space_group_IT_number 1
_cell_length_a 9.1631
_cell_length_b 9.1631
_cell_length_c 9.1631
_cell_angle_alpha 93.43
_cell_angle_beta 93.43
_cell_angle_gamma 151.68
loop_
_space_group_symop_operation_xyz
'x,y,z'
loop_
_atom_site_label
_atom_site_type_symbol
_atom_site_fract_x
_atom_site_fract_y
_atom_site_fract_z
_atom_site_occupancy
K1 K 0.3750 0.1512 0.2762 1
K2 K 0.8488 0.1250 0.2238 1
K3 K 0.8750 0.0988 0.7238 1
K4 K 0.9012 0.6250 0.7762 1
Si1 Si 0.2500 0.7500 0.5000 1
Si2 Si 0.5000 0.5000 0.0000 1
Ir1 Ir 0.0000 0.0000 0.0000 1
Ir2 Ir 0.7500 0.2500 0.5000 1
```

=====

No. 6
A plane-wave DFT calculation with PBE was carried out for K2SiIr after structural relaxation.

Results
Electronic total energy   -0.12117 Ha/atom
Uncorrected formation energy   0.822 eV per atom
Symmetry   R-3m

Structure (CIF):
```
data_K2SiIr
_space_group_name_H-M_alt 'P 1'
_space_group_IT_number 1
_cell_length_a 11.3748
_cell_length_b 11.3748
_cell_length_c 11.3748
_cell_angle_alpha 14.95
_cell_angle_beta 14.95
_cell_angle_gamma 14.95
loop_
_space_group_symop_operation_xyz
'x,y,z'
loop_
_atom_site_label
_atom_site_type_symbol
_atom_site_fract_x
_atom_site_fract_y
_atom_site_fract_z
_atom_site_occupancy
K1 K 0.2469 0.2469 0.2469 1
K2 K 0.7531 0.7531 0.7531 1
Si1 Si 0.0000 0.0000 0.0000 1
Ir1 Ir 0.5000 0.5000 0.5000 1
```

=====

No. 7
A plane-wave DFT calculation with PBE was carried out for KSiIr3 after structural relaxation.

Results
Electronic total energy   -0.21867 Ha/atom
Uncorrected formation energy   0.670 eV per atom
Symmetry   Pm-3m
Energy relative to the lowest polymorph listed for this composition   0.000 eV per atom

Structure (CIF):
```
data_KSiIr3
_space_group_name_H-M_alt 'P 1'
_space_group_IT_number 1
_cell_length_a 4.5675
_cell_length_b 4.5675
_cell_length_c 4.5675
_cell_angle_alpha 90.00
_cell_angle_beta 90.00
_cell_angle_gamma 90.00
loop_
_space_group_symop_operation_xyz
'x,y,z'
loop_
_atom_site_label
_atom_site_type_symbol
_atom_site_fract_x
_atom_site_fract_y
_atom_site_fract_z
_atom_site_occupancy
K1 K 0.0000 0.0000 0.0000 1
Si1 Si 0.5000 0.5000 0.5000 1
Ir1 Ir 0.0000 0.5000 0.5000 1
Ir2 Ir 0.5000 0.0000 0.5000 1
Ir3 Ir 0.5000 0.5000 0.0000 1
```

=====

No. 8
A plane-wave DFT calculation with PBE was carried out for KSi2Ir after structural relaxation.

Results
Electronic total energy   -0.15889 Ha/atom
Uncorrected formation energy   0.877 eV per atom
Symmetry   Pmmm
Energy relative to the lowest polymorph listed for this composition   1.161 eV per atom

Structure (CIF):
```
data_KSi2Ir
_space_group_name_H-M_alt 'P 1'
_space_group_IT_number 1
_cell_length_a 3.0747
_cell_length_b 4.5308
_cell_length_c 5.0861
_cell_angle_alpha 90.00
_cell_angle_beta 90.00
_cell_angle_gamma 90.00
loop_
_space_group_symop_operation_xyz
'x,y,z'
loop_
_atom_site_label
_atom_site_type_symbol
_atom_site_fract_x
_atom_site_fract_y
_atom_site_fract_z
_atom_site_occupancy
K1 K 0.0000 0.0000 0.0000 1
Si1 Si 0.0000 0.5000 0.5000 1
Si2 Si 0.5000 0.5000 0.0000 1
Ir1 Ir 0.5000 0.0000 0.5000 1
```

=====

No. 9
A plane-wave DFT calculation with PBE was carried out for K2SiIr after structural relaxation.

Results
Electronic total energy   -0.12693 Ha/atom
Uncorrected formation energy   0.666 eV per atom
Symmetry   Cmmm

Structure (CIF):
```
data_K2SiIr
_space_group_name_H-M_alt 'P 1'
_space_group_IT_number 1
_cell_length_a 5.9061
_cell_length_b 5.9061
_cell_length_c 3.3921
_cell_angle_alpha 90.00
_cell_angle_beta 90.00
_cell_angle_gamma 128.94
loop_
_space_group_symop_operation_xyz
'x,y,z'
loop_
_atom_site_label
_atom_site_type_symbol
_atom_site_fract_x
_atom_site_fract_y
_atom_site_fract_z
_atom_site_occupancy
K1 K 0.0000 0.5000 0.0000 1
K2 K 0.5000 0.0000 0.0000 1
Si1 Si 0.0000 0.0000 0.5000 1
Ir1 Ir 0.5000 0.5000 0.5000 1
```

=====

No. 10
A plane-wave DFT calculation with PBE was carried out for KSi2Ir after structural relaxation.

Results
Electronic total energy   -0.19203 Ha/atom
Uncorrected formation energy   -0.024 eV per atom
Symmetry   Pm
Energy relative to the lowest polymorph listed for this composition   0.259 eV per atom

Structure (CIF):
```
data_KSi2Ir
_space_group_name_H-M_alt 'P 1'
_space_group_IT_number 1
_cell_length_a 2.9785
_cell_length_b 3.8300
_cell_length_c 7.4458
_cell_angle_alpha 90.00
_cell_angle_beta 101.31
_cell_angle_gamma 90.00
loop_
_space_group_symop_operation_xyz
'x,y,z'
loop_
_atom_site_label
_atom_site_type_symbol
_atom_site_fract_x
_atom_site_fract_y
_atom_site_fract_z
_atom_site_occupancy
K1 K 0.0000 0.0000 0.0000 1
Si1 Si 0.6584 0.5000 0.3251 1
Si2 Si 0.7635 0.0000 0.5415 1
Ir1 Ir 0.2974 0.5000 0.6094 1
```

=====

No. 11
A plane-wave DFT calculation with PBE was carried out for K2SiIr after structural relaxation.

Results
Electronic total energy   -0.14878 Ha/atom
Uncorrected formation energy   0.071 eV per atom
Symmetry   Pm

Structure (CIF):
```
data_K2SiIr
_space_group_name_H-M_alt 'P 1'
_space_group_IT_number 1
_cell_length_a 5.4015
_cell_length_b 3.8462
_cell_length_c 6.5452
_cell_angle_alpha 90.00
_cell_angle_beta 114.36
_cell_angle_gamma 90.00
loop_
_space_group_symop_operation_xyz
'x,y,z'
loop_
_atom_site_label
_atom_site_type_symbol
_atom_site_fract_x
_atom_site_fract_y
_atom_site_fract_z
_atom_site_occupancy
K1 K 0.0000 0.0000 0.0000 1
K2 K 0.2929 0.5000 0.5848 1
Si1 Si 0.6976 0.0000 0.3934 1
Ir1 Ir 0.5962 0.5000 0.1933 1
```

=====

No. 12
A plane-wave DFT calculation with PBE was carried out for KSiIr after structural relaxation.

Results
Electronic total energy   -0.19314 Ha/atom
Uncorrected formation energy   -0.129 eV per atom
Symmetry   Imm2
Energy relative to the lowest polymorph listed for this composition   0.309 eV per atom

Structure (CIF):
```
data_KSiIr
_space_group_name_H-M_alt 'P 1'
_space_group_IT_number 1
_cell_length_a 6.5653
_cell_length_b 6.5653
_cell_length_c 6.5653
_cell_angle_alpha 154.98
_cell_angle_beta 145.40
_cell_angle_gamma 43.17
loop_
_space_group_symop_operation_xyz
'x,y,z'
loop_
_atom_site_label
_atom_site_type_symbol
_atom_site_fract_x
_atom_site_fract_y
_atom_site_fract_z
_atom_site_occupancy
K1 K 0.0000 0.0000 0.0000 1
Si1 Si 0.7454 0.7454 0.0000 1
Ir1 Ir 0.2609 0.2609 0.0000 1
```

=====

No. 13
A plane-wave DFT calculation with PBE was carried out for KSi2Ir2 after structural relaxation.

Results
Electronic total energy   -0.22375 Ha/atom
Uncorrected formation energy   -0.155 eV per atom
Symmetry   P4/mbm
Energy relative to the lowest polymorph listed for this composition   0.325 eV per atom

Structure (CIF):
```
data_KSi2Ir2
_space_group_name_H-M_alt 'P 1'
_space_group_IT_number 1
_cell_length_a 7.6355
_cell_length_b 7.6355
_cell_length_c 2.7597
_cell_angle_alpha 90.00
_cell_angle_beta 90.00
_cell_angle_gamma 90.00
loop_
_space_group_symop_operation_xyz
'x,y,z'
loop_
_atom_site_label
_atom_site_type_symbol
_atom_site_fract_x
_atom_site_fract_y
_atom_site_fract_z
_atom_site_occupancy
K1 K 0.0000 0.0000 0.0000 1
K2 K 0.5000 0.5000 0.0000 1
Si1 Si 0.1460 0.3540 0.5000 1
Si2 Si 0.3540 0.8540 0.5000 1
Si3 Si 0.6460 0.1460 0.5000 1
Si4 Si 0.8540 0.6460 0.5000 1
Ir1 Ir 0.1375 0.6375 0.0000 1
Ir2 Ir 0.3625 0.1375 0.0000 1
Ir3 Ir 0.6375 0.8625 0.0000 1
Ir4 Ir 0.8625 0.3625 0.0000 1
```

=====

No. 14
A plane-wave DFT calculation with PBE was carried out for K2SiIr after structural relaxation.

Results
Electronic total energy   -0.12613 Ha/atom
Uncorrected formation energy   0.687 eV per atom
Symmetry   P4/mmm

Structure (CIF):
```
data_K2SiIr
_space_group_name_H-M_alt 'P 1'
_space_group_IT_number 1
_cell_length_a 3.9501
_cell_length_b 3.9501
_cell_length_c 5.4292
_cell_angle_alpha 90.00
_cell_angle_beta 90.00
_cell_angle_gamma 90.00
loop_
_space_group_symop_operation_xyz
'x,y,z'
loop_
_atom_site_label
_atom_site_type_symbol
_atom_site_fract_x
_atom_site_fract_y
_atom_site_fract_z
_atom_site_occupancy
K1 K 0.0000 0.5000 0.0000 1
K2 K 0.5000 0.0000 0.0000 1
Si1 Si 0.0000 0.0000 0.5000 1
Ir1 Ir 0.5000 0.5000 0.5000 1
```